1.
ZnCrGa2: relaxed, PBE.

Properties
Formation enthalpy at 0 K in eV/atom: 0.44

Lattice parameters (Å, degrees): 6.8480 6.8480 5.3345 90.00 90.00 90.00
Last column: nearest neighbours and their distance in Å.
Space group I-42d (No. 122)
Inequivalent atoms, fractional coordinates:
Zn  0.0000  0.0000  0.0000  4 Ga 2.50, 2 Cr 2.67
Cr  0.0000  0.0000  0.5000  4 Ga 2.52, 2 Zn 2.67
Ga  0.2474  0.2500  0.1250  2 Zn 2.50, 2 Cr 2.52, 2 Ga 2.67

***

2.
Li2Mg2In: relaxed, PBE.

Properties
Formation enthalpy at 0 K in eV/atom: -0.08

Lattice parameters (Å, degrees): 7.2993 7.2993 3.8061 90.00 90.00 90.00
Last column: nearest neighbours and their distance in Å.
Space group P4/mbm (No. 127)
Inequivalent atoms, fractional coordinates:
Li  0.1360  0.3640  0.0000  1 Li 2.81, 6 Mg 2.82-2.90, 2 In 2.84
Mg  0.1621  0.6621  0.5000  6 Li 2.82-2.90
In  0.0000  0.0000  0.0000  4 Li 2.84

***

3.
Ba4TiS5: relaxed, PBE.

Properties
Electronic total energy in eV per atom: -5.355

Lattice parameters (Å, degrees): 9.6955 9.6955 6.3894 90.00 90.00 90.00
Last column: nearest neighbours and their distance in Å.
Space group I4 (No. 79)
Inequivalent atoms, fractional coordinates:
Ba  0.0956  0.2986  0.0000  6 S 3.07-3.41
Ti  0.0000  0.0000  0.4460  5 S 2.45-2.70
S  0.0000  0.0000  0.0619  1 Ti 2.45
S  0.0879  0.2622  0.4982  1 Ti 2.70

***

4.
CaMoW2: relaxed, PBE.

Properties
Formation enthalpy at 0 K in eV/atom: 0.75

Lattice parameters (Å, degrees): 2.6929 2.6929 10.0779 90.00 90.00 90.00
Last column: nearest neighbours and their distance in Å.
Space group P4/mmm (No. 123)
Inequivalent atoms, fractional coordinates:
Ca  0.0000  0.0000  0.0000  4 Ca 2.69
Mo  0.0000  0.0000  0.5000  4 Mo 2.69, 8 W 2.99
W  0.5000  0.5000  0.2710  4 W 2.69, 4 Mo 2.99

***

5.
NiTe6Au2: relaxed, PBE.

Properties
Electronic total energy in eV per atom: -3.496

Lattice parameters (Å, degrees): 11.5764 12.0989 7.3242 90.00 106.04 90.00
Last column: nearest neighbours and their distance in Å.
Space group C2/c (No. 15)
Inequivalent atoms, fractional coordinates:
Ni  0.0000  0.0699  0.2500  6 Te 2.56-2.61
Te  0.1127  0.0800  0.6093  2 Ni 2.60-2.61, 1 Au 2.84
Te  0.1217  0.3696  0.6713  2 Au 2.73-2.79, 1 Te 2.90
Te  0.1369  0.2081  0.1450  1 Ni 2.56, 1 Au 2.81
Au  0.1329  0.4190  0.3039  4 Te 2.73-2.84, 1 Au 2.96

***

6.
Al2Fe2Sb: relaxed, PBE.

Properties
Electronic total energy in eV per atom: -5.688

Lattice parameters (Å, degrees): 6.6918 6.6918 3.3398 90.00 90.00 90.00
Last column: nearest neighbours and their distance in Å.
Space group P4/mbm (No. 127)
Inequivalent atoms, fractional coordinates:
Al  0.1422  0.3578  0.0000  6 Fe 2.58, 1 Al 2.69
Fe  0.1506  0.6506  0.5000  2 Sb 2.55, 6 Al 2.58, 1 Fe 2.85
Sb  0.0000  0.0000  0.5000  4 Fe 2.55

***

7.
Mg4H5Ir: relaxed, PBE.

Properties
Electronic total energy in eV per atom: -3.431

Lattice parameters (Å, degrees): 5.0004 5.3469 5.3903 114.92 109.00 95.34
Last column: nearest neighbours and their distance in Å.
Space group P1 (No. 1)
Inequivalent atoms, fractional coordinates:
Mg  0.0000  0.0000  0.0000  2 H 1.86-2.01
Mg  0.0143  0.3698  0.6560  2 H 1.91-2.07
Mg  0.3958  0.0052  0.5915  2 H 1.93-2.02
Mg  0.6814  0.6009  0.1760  1 H 1.94
H  0.1698  0.4617  0.3479  1 Ir 1.72
H  0.2043  0.1733  0.8559  3 Mg 1.86-1.93
H  0.4414  0.7598  0.8776  1 Ir 1.69
H  0.5887  0.2848  0.3181  1 Ir 1.69
H  0.9740  0.9578  0.3463  4 Mg 1.94-2.07
Ir  0.5222  0.5324  0.5971  3 H 1.69-1.72

***

8.
CaBiB3: relaxed, PBE.

Properties
Formation enthalpy at 0 K in eV/atom: 2.33

Lattice parameters (Å, degrees): 4.7130 4.7130 4.7130 90.00 90.00 90.00
Last column: nearest neighbours and their distance in Å.
Space group Pm-3m (No. 221)
Inequivalent atoms, fractional coordinates:
Ca  0.0000  0.0000  0.0000  6 B 2.36
Bi  0.5000  0.5000  0.5000  12 B 3.33
B  0.0000  0.0000  0.5000  2 Ca 2.36

***

9.
Ba2NpTi3O12: relaxed, PBE.

Properties
Electronic total energy in eV per atom: -8.249

Lattice parameters (Å, degrees): 7.1295 7.1295 18.6616 90.00 90.00 120.00
Last column: nearest neighbours and their distance in Å.
Space group R-3m (No. 166, hexagonal axes)
Inequivalent atoms, fractional coordinates:
Ba  0.0000  0.0000  0.1026  3 O 2.91
Np  0.0000  0.0000  0.5000  6 O 2.01
Ti  0.0000  0.5000  0.0000  6 O 1.92-2.03
O  0.0616  0.5308  0.1069  1 Np 2.01, 1 Ti 2.03
O  0.0668  0.5334  0.3534  2 Ti 1.92

***

10.
Sc2TiCd: relaxed, PBE.

Properties
Formation enthalpy at 0 K in eV/atom: 0.01

Lattice parameters (Å, degrees): 3.1548 3.1548 30.1901 90.00 90.00 120.00
Last column: nearest neighbours and their distance in Å.
Space group R3m (No. 160, hexagonal axes)
Inequivalent atoms, fractional coordinates:
Sc  0.0000  0.0000  0.0000  3 Ti 3.00, 6 Sc 3.15, 3 Cd 3.21
Sc  0.0000  0.0000  0.1751  3 Ti 3.00, 6 Sc 3.15, 3 Cd 3.21
Ti  0.0000  0.0000  0.5876  6 Sc 3.00, 6 Ti 3.15
Cd  0.0000  0.0000  0.4210  6 Cd 3.15, 6 Sc 3.21

***

11.
NdPbI: relaxed, PBE.

Properties
Electronic total energy in eV per atom: -4.104

Lattice parameters (Å, degrees): 18.0229 18.0229 7.3292 90.00 90.00 120.00
Last column: nearest neighbours and their distance in Å.
Space group R-3 (No. 148, hexagonal axes)
Inequivalent atoms, fractional coordinates:
Nd  0.0365  0.4861  0.2275  3 I 3.15-3.41, 3 Pb 3.25-3.38
Pb  0.0067  0.7341  0.7889  2 Pb 3.16, 3 Nd 3.25-3.38
I  0.0333  0.8694  0.2575  3 Nd 3.15-3.41